This record from Alexandria describes Mn2PbIO at its PBEsol-relaxed geometry. The functional is meta-GGA SCAN.

Geometry as CIF:
```
data_Mn2PbIO
_chemical_formula_sum 'Mn2 Pb1 I1 O1'
_cell_length_a 4.167
_cell_length_b 4.167
_cell_length_c 6.285
_cell_angle_alpha 90.00
_cell_angle_beta 90.00
_cell_angle_gamma 90.00
_symmetry_space_group_name_H-M 'P 4/m m m'
_symmetry_Int_Tables_number 123
_symmetry_space_group_name_Hall '-P 4 2'
loop_
_atom_site_label
_atom_site_fract_x
_atom_site_fract_y
_atom_site_fract_z
Mn1 0.000 0.500 0.000
Pb1 0.000 0.000 0.500
I1 0.500 0.500 0.500
O1 0.500 0.500 0.000
```

Computed properties:
ρ: 7.00 g/cm³
N(E_F): 2.150 states/eV/cell
total energy: -31.35 eV/atom

This record from Alexandria describes BaLi2P at its PBEsol-relaxed geometry. The functional is meta-GGA SCAN.

Geometry as CIF:
```
data_BaLi2P
_chemical_formula_sum 'Ba1 Li2 P1'
_cell_length_a 3.404
_cell_length_b 3.953
_cell_length_c 7.431
_cell_angle_alpha 90.00
_cell_angle_beta 90.00
_cell_angle_gamma 90.00
_symmetry_space_group_name_H-M 'P m m 2'
_symmetry_Int_Tables_number 25
loop_
_symmetry_equiv_pos_as_xyz
'x,y,z'
'-x,-y,z'
'-x,y,z'
'x,-y,z'
loop_
_atom_site_label
_atom_site_fract_x
_atom_site_fract_y
_atom_site_fract_z
Ba1 0.000 0.000 0.000
Li1 0.000 0.000 0.598
Li2 0.500 0.500 0.412
P1 0.500 0.500 0.744
```

Computed properties:
ρ: 3.03 g/cm³
N(E_F): 1.577 states/eV/cell
ΔH_f (0 K): -0.403 eV/atom
total energy: -14.09 eV/atom

This record from Alexandria describes InCoAs3 at its PBEsol-relaxed geometry. The functional is meta-GGA SCAN.

Geometry as CIF:
```
data_InCoAs3
_chemical_formula_sum 'In1 Co1 As3'
_cell_length_a 4.598
_cell_length_b 4.598
_cell_length_c 4.598
_cell_angle_alpha 90.00
_cell_angle_beta 90.00
_cell_angle_gamma 90.00
_symmetry_space_group_name_H-M 'P m -3 m'
_symmetry_Int_Tables_number 221
_symmetry_space_group_name_Hall '-P 4 2 3'
loop_
_atom_site_label
_atom_site_fract_x
_atom_site_fract_y
_atom_site_fract_z
In1 0.000 0.000 0.000
Co1 0.500 0.500 0.500
As1 0.000 0.500 0.500
```

Computed properties:
ρ: 6.81 g/cm³
N(E_F): 5.528 states/eV/cell
ΔH_f (0 K): 0.435 eV/atom
total energy: -21.82 eV/atom

This record from Alexandria describes LaYZn2As at its PBEsol-relaxed geometry. The functional is meta-GGA SCAN.

Geometry as CIF:
```
data_LaYZn2As
_chemical_formula_sum 'La1 Y1 Zn2 As1'
_cell_length_a 5.201
_cell_length_b 5.201
_cell_length_c 5.469
_cell_angle_alpha 90.00
_cell_angle_beta 90.00
_cell_angle_gamma 90.00
_symmetry_space_group_name_H-M 'P 4/m m m'
_symmetry_Int_Tables_number 123
_symmetry_space_group_name_Hall '-P 4 2'
loop_
_atom_site_label
_atom_site_fract_x
_atom_site_fract_y
_atom_site_fract_z
La1 0.000 0.000 0.000
Y1 0.500 0.500 0.500
Zn1 0.000 0.500 0.000
As1 0.000 0.000 0.500
```

Computed properties:
ρ: 4.87 g/cm³
N(E_F): 4.347 states/eV/cell
ΔH_f (0 K): 0.398 eV/atom
total energy: -23.24 eV/atom

This record from Alexandria describes MgCoSe2 at its PBEsol-relaxed geometry. The functional is meta-GGA SCAN.

Geometry as CIF:
```
data_MgCoSe2
_chemical_formula_sum 'Mg3 Co3 Se6'
_cell_length_a 3.6367
_cell_length_b 3.6367
_cell_length_c 17.8571
_cell_angle_alpha 90.00
_cell_angle_beta 90.00
_cell_angle_gamma 120.00
_symmetry_space_group_name_H-M 'R -3 m'
_symmetry_Int_Tables_number 166
_symmetry_space_group_name_Hall '-R 3 2"'
loop_
_atom_site_label
_atom_site_fract_x
_atom_site_fract_y
_atom_site_fract_z
Mg1 0.0000 0.0000 0.0000
Co1 0.0000 0.0000 0.5000
Se1 0.0000 0.0000 0.2356
```

Computed properties:
ρ: 5.87 g/cm³
N(E_F): 4.061 states/eV/cell
total energy: -16.26 eV/atom
excess energy over the best structure of this formula in the dataset: 0 meV/atom

This record from Alexandria describes LiAl4Se at its PBEsol-relaxed geometry. The functional is meta-GGA SCAN.

Geometry as CIF:
```
data_LiAl4Se
_chemical_formula_sum 'Li4 Al16 Se4'
_cell_length_a 7.641
_cell_length_b 7.641
_cell_length_c 7.641
_cell_angle_alpha 90.00
_cell_angle_beta 90.00
_cell_angle_gamma 90.00
_symmetry_space_group_name_H-M 'F -4 3 m'
_symmetry_Int_Tables_number 216
_symmetry_space_group_name_Hall 'F -4 2 3'
loop_
_atom_site_label
_atom_site_fract_x
_atom_site_fract_y
_atom_site_fract_z
Li1 0.000 0.000 0.000
Al1 0.127 0.127 0.373
Se1 0.250 0.250 0.750
```

Computed properties:
ρ: 2.89 g/cm³
N(E_F): 10.149 states/eV/cell
total energy: -8.77 eV/atom

This record from Alexandria describes Fe2RuPt at its PBEsol-relaxed geometry. The functional is meta-GGA SCAN.

Geometry as CIF:
```
data_Fe2RuPt
_chemical_formula_sum 'Fe2 Ru1 Pt1'
_cell_length_a 2.642
_cell_length_b 2.642
_cell_length_c 7.197
_cell_angle_alpha 90.00
_cell_angle_beta 90.00
_cell_angle_gamma 90.00
_symmetry_space_group_name_H-M 'P 4 m m'
_symmetry_Int_Tables_number 99
loop_
_symmetry_equiv_pos_as_xyz
'x,y,z'
'-y,x,z'
'-x,-y,z'
'y,-x,z'
'-x,y,z'
'y,x,z'
'x,-y,z'
'-y,-x,z'
loop_
_atom_site_label
_atom_site_fract_x
_atom_site_fract_y
_atom_site_fract_z
Fe1 0.000 0.000 0.000
Fe2 0.500 0.500 0.233
Ru1 0.500 0.500 0.776
Pt1 0.000 0.000 0.493
```

Computed properties:
ρ: 13.48 g/cm³
N(E_F): 3.949 states/eV/cell
ΔH_f (0 K): -0.040 eV/atom
total energy: -35.36 eV/atom

This record from Alexandria describes LaAlCl2 at its PBEsol-relaxed geometry. The functional is meta-GGA SCAN.

Geometry as CIF:
```
data_LaAlCl2
_chemical_formula_sum 'La4 Al4 Cl8'
_cell_length_a 7.083
_cell_length_b 7.083
_cell_length_c 7.083
_cell_angle_alpha 90.00
_cell_angle_beta 90.00
_cell_angle_gamma 90.00
_symmetry_space_group_name_H-M 'F m -3 m'
_symmetry_Int_Tables_number 225
_symmetry_space_group_name_Hall '-F 4 2 3'
loop_
_atom_site_label
_atom_site_fract_x
_atom_site_fract_y
_atom_site_fract_z
La1 0.000 0.000 0.000
Al1 0.000 0.000 0.500
Cl1 0.250 0.250 0.250
```

Computed properties:
ρ: 4.43 g/cm³
N(E_F): 10.761 states/eV/cell
total energy: -17.74 eV/atom
excess energy over the best structure of this formula in the dataset: 194 meV/atom

Q: Which value of N(E_F) does entry 2 give?
A: 1.577 states/eV/cell